Entry from Alexandria: an optimized crystal structure of Pr2CuGe2O8 (PBEsol).

a b c (Å): 9.119 9.119 5.159
angles (deg): 105.96 105.96 114.69
Atoms (fractional coordinates):
Pr (0.121, 0.879, 0.000)
Pr (0.381, 0.622, 0.485)
Pr (0.622, 0.381, 0.485)
Pr (0.879, 0.121, 0.000)
Cu (0.000, 0.586, 0.301)
Cu (0.586, 0.000, 0.301)
Ge (0.031, 0.453, 0.753)
Ge (0.256, 0.256, 0.703)
Ge (0.453, 0.031, 0.753)
Ge (0.762, 0.762, 0.297)
O (0.081, 0.427, 0.434)
O (0.091, 0.091, 0.336)
O (0.165, 0.350, 0.917)
O (0.165, 0.647, 0.114)
O (0.295, 0.830, 0.738)
O (0.350, 0.165, 0.917)
O (0.425, 0.425, 0.667)
O (0.427, 0.081, 0.434)
O (0.574, 0.922, 0.599)
O (0.591, 0.591, 0.329)
O (0.647, 0.165, 0.114)
O (0.674, 0.862, 0.098)
O (0.830, 0.295, 0.738)
O (0.862, 0.674, 0.098)
O (0.922, 0.574, 0.599)
O (0.922, 0.922, 0.675)

Symmetry: No. 8
VASP energy in eV/atom: -7.380
Formation energy from raw total energies in eV/atom: -2.26
Crystal system: monoclinic

---

Entry from Alexandria: an optimized crystal structure of Hg2PCl (PBEsol).

a b c (Å): 6.931 6.931 6.931
angles (deg): 33.15 33.15 33.15
Atoms (fractional coordinates):
Hg (0.236, 0.236, 0.236)
Hg (0.764, 0.764, 0.764)
P (0.500, 0.500, 0.500)
Cl (0.000, 0.000, 0.000)

Distance to the lowest polymorph of the same formula in eV/f.u.: 0.61
Symmetry: No. 166
VASP energy in eV/atom: -2.246
Formation energy from raw total energies in eV/atom: -0.01
Crystal system: trigonal

---

Entry from Alexandria: an optimized crystal structure of Cd2TePb (PBEsol).

a b c (Å): 6.473 6.473 6.473
angles (deg): 140.31 140.31 57.38
Atoms (fractional coordinates):
Cd (0.250, 0.750, 0.500)
Cd (0.750, 0.250, 0.500)
Te (0.000, 0.000, 0.000)
Pb (0.500, 0.500, 0.000)

Distance to the lowest polymorph of the same formula in eV/f.u.: 0.25
Symmetry: No. 139
VASP energy in eV/atom: -2.438
Formation energy from raw total energies in eV/atom: 0.04
Crystal system: tetragonal

---

Entry from Alexandria: an optimized crystal structure of BaCdBr2 (PBEsol).

a b c (Å): 9.644 9.644 9.644
angles (deg): 26.41 26.41 26.41
Atoms (fractional coordinates):
Ba (0.000, 0.000, 0.000)
Cd (0.500, 0.500, 0.500)
Br (0.113, 0.113, 0.113)
Br (0.887, 0.887, 0.887)

Symmetry: No. 166
VASP energy in eV/atom: -2.425
Formation energy from raw total energies in eV/atom: -0.65
Crystal system: trigonal

---

Entry from Alexandria: an optimized crystal structure of CrInCo2 (PBEsol).

a b c (Å): 4.277 4.277 4.812
angles (deg): 99.75 99.75 36.83
Atoms (fractional coordinates):
Cr (0.000, 0.000, 0.000)
In (0.500, 0.500, 0.500)
Co (0.259, 0.259, 0.799)
Co (0.741, 0.741, 0.201)

Symmetry: No. 12
Energy of formation in meV/atom: 314
VASP energy in eV/atom: -6.861
Crystal system: monoclinic

---

Entry from Alexandria: an optimized crystal structure of Tl3AgPt (PBEsol).

a b c (Å): 5.237 5.237 5.237
angles (deg): 90.00 90.00 90.00
Atoms (fractional coordinates):
Tl (0.000, 0.000, 0.500)
Tl (0.000, 0.500, 0.000)
Tl (0.500, 0.000, 0.000)
Ag (0.500, 0.500, 0.500)
Pt (0.000, 0.000, 0.000)

Symmetry: No. 221
Energy of formation in meV/atom: 256
VASP energy in eV/atom: -3.377
Crystal system: cubic

---

Entry from Alexandria: an optimized crystal structure of Al5Te (PBEsol).

a b c (Å): 4.465 8.467 8.467
angles (deg): 21.09 90.00 90.00
Atoms (fractional coordinates):
Al (0.000, 0.000, 0.000)
Al (0.000, 0.287, 0.287)
Al (0.000, 0.641, 0.641)
Al (0.500, 0.103, 0.103)
Al (0.500, 0.746, 0.746)
Te (0.500, 0.418, 0.418)

Distance to the lowest polymorph of the same formula in eV/f.u.: 0.00
Symmetry: No. 38
VASP energy in eV/atom: -3.831
Formation energy from raw total energies in eV/atom: 0.17
Crystal system: orthorhombic

---

Entry from Alexandria: an optimized crystal structure of CsSrZr2H (PBEsol).

a b c (Å): 4.498 4.498 5.960
angles (deg): 90.00 90.00 90.00
Atoms (fractional coordinates):
Cs (0.000, 0.000, 0.000)
Sr (0.500, 0.500, 0.000)
Zr (0.000, 0.500, 0.500)
Zr (0.500, 0.000, 0.500)
H (0.000, 0.000, 0.500)

Symmetry: No. 123
VASP energy in eV/atom: -4.235
Crystal system: tetragonal

---

Entry from Alexandria: an optimized crystal structure of LiZrZn (PBEsol).

a b c (Å): 4.416 4.416 4.416
angles (deg): 60.00 60.00 60.00
Atoms (fractional coordinates):
Li (0.000, 0.000, 0.000)
Zr (0.250, 0.250, 0.250)
Zn (0.500, 0.500, 0.500)

Symmetry: No. 216
Energy of formation in meV/atom: 696
VASP energy in eV/atom: -3.517
Crystal system: cubic

---

Entry from Alexandria: an optimized crystal structure of Zr3N2 (PBEsol).

a b c (Å): 6.120 6.120 6.120
angles (deg): 54.48 54.48 54.48
Atoms (fractional coordinates):
Zr (0.075, 0.750, 0.425)
Zr (0.250, 0.575, 0.925)
Zr (0.425, 0.075, 0.750)
Zr (0.575, 0.925, 0.250)
Zr (0.750, 0.425, 0.075)
Zr (0.925, 0.250, 0.575)
N (0.161, 0.161, 0.161)
N (0.339, 0.339, 0.339)
N (0.661, 0.661, 0.661)
N (0.839, 0.839, 0.839)

Symmetry: No. 167
VASP energy in eV/atom: -10.475
Formation energy from raw total energies in eV/atom: -1.61
Crystal system: trigonal

---

Entry from Alexandria: an optimized crystal structure of Cu2Pt (PBEsol).

a b c (Å): 11.459 11.459 11.459
angles (deg): 161.50 161.50 26.28
Atoms (fractional coordinates):
Cu (0.125, 0.375, 0.750)
Cu (0.293, 0.543, 0.750)
Cu (0.375, 0.125, 0.250)
Cu (0.457, 0.707, 0.750)
Cu (0.543, 0.293, 0.250)
Cu (0.625, 0.875, 0.750)
Cu (0.707, 0.457, 0.250)
Cu (0.875, 0.625, 0.250)
Pt (0.044, 0.794, 0.250)
Pt (0.206, 0.956, 0.250)
Pt (0.794, 0.044, 0.750)
Pt (0.956, 0.206, 0.750)

Distance to the lowest polymorph of the same formula in eV/f.u.: 0.00
Symmetry: No. 141
Energy of formation in meV/atom: -126
VASP energy in eV/atom: -5.336
Crystal system: tetragonal

---

Entry from Alexandria: an optimized crystal structure of Mn2Ga2Pb (PBEsol).

a b c (Å): 6.091 6.091 6.091
angles (deg): 140.67 140.67 56.83
Atoms (fractional coordinates):
Mn (0.250, 0.750, 0.500)
Mn (0.750, 0.250, 0.500)
Ga (0.116, 0.116, 0.000)
Ga (0.884, 0.884, 0.000)
Pb (0.500, 0.500, 0.000)

Symmetry: No. 139
Energy of formation in meV/atom: 316
VASP energy in eV/atom: -5.724
Crystal system: tetragonal